(1)
First-principles (PBE-GGA) data for an optimized crystal structure of Te6Pd2Pt, as listed in Alexandria via LeMat-Bulk.

Fermi-level density of states: 8.22 states/eV/cell
space-group type: Pnnm (58)
E_form (uncorrected): -0.31 eV per atom
V: 461.74 Å³/cell

Cell lengths 5.3029, 7.1433, 12.1896 Å; angles 90.00, 90.00, 90.00 degrees
Last column: nearest neighbours and their distance in Å.
Atoms (fractional coordinates):
Te: 0.2215 0.1844 0.1535  2 Pd 2.71-2.75, 1 Pt 2.72
Te: 0.2215 0.1844 0.8465  2 Pd 2.71-2.75, 1 Pt 2.72
Te: 0.2387 0.6708 0.0000  1 Pt 2.73, 2 Pd 2.80
Te: 0.2613 0.1708 0.5000  1 Pt 2.73, 2 Pd 2.80
Te: 0.2785 0.6844 0.3465  2 Pd 2.71-2.75, 1 Pt 2.72
Te: 0.2785 0.6844 0.6535  2 Pd 2.71-2.75, 1 Pt 2.72
Te: 0.7215 0.3156 0.3465  2 Pd 2.71-2.75, 1 Pt 2.72
Te: 0.7215 0.3156 0.6535  2 Pd 2.71-2.75, 1 Pt 2.72
Te: 0.7387 0.8292 0.5000  1 Pt 2.73, 2 Pd 2.80
Te: 0.7613 0.3292 0.0000  1 Pt 2.73, 2 Pd 2.80
Te: 0.7785 0.8156 0.1535  2 Pd 2.71-2.75, 1 Pt 2.72
Te: 0.7785 0.8156 0.8465  2 Pd 2.71-2.75, 1 Pt 2.72
Pd: 0.0000 0.0000 0.3269  6 Te 2.71-2.80
Pd: 0.0000 0.0000 0.6731  6 Te 2.71-2.80
Pd: 0.5000 0.5000 0.1731  6 Te 2.71-2.80
Pd: 0.5000 0.5000 0.8269  6 Te 2.71-2.80
Pt: 0.0000 0.5000 0.5000  6 Te 2.72-2.73
Pt: 0.5000 0.0000 0.0000  6 Te 2.72-2.73

(2)
First-principles (PBE-GGA) data for an optimized crystal structure of Te2PdPt, as listed in Alexandria via LeMat-Bulk.

Fermi-level density of states: 3.38 states/eV/cell
space-group type: Ibam (72)
energy relative to the lowest polymorph listed for this composition: 0.0000 eV/atom
E_form (uncorrected): -0.20 eV per atom
V: 186.48 Å³/cell

Cell lengths 7.0520, 7.0520, 7.0520 Å; angles 132.55, 69.29, 132.65 degrees
Last column: nearest neighbours and their distance in Å.
Atoms (fractional coordinates):
Te: 0.1584 0.2480 0.4064  2 Pt 2.71, 2 Pd 2.73
Te: 0.3416 0.7480 0.0896  2 Pt 2.71, 2 Pd 2.73
Te: 0.6584 0.2520 0.9104  2 Pt 2.71, 2 Pd 2.73
Te: 0.8416 0.7520 0.5936  2 Pt 2.71, 2 Pd 2.73
Pd: 0.2500 0.7500 0.5000  4 Te 2.73, 2 Pd 2.83, 2 Pt 2.84
Pd: 0.7500 0.2500 0.5000  4 Te 2.73, 2 Pd 2.83, 2 Pt 2.84
Pt: 0.2500 0.2500 0.0000  4 Te 2.71, 2 Pt 2.83, 2 Pd 2.84
Pt: 0.7500 0.7500 0.0000  4 Te 2.71, 2 Pt 2.83, 2 Pd 2.84

(3)
First-principles (PBE-GGA) data for an optimized crystal structure of Te2PdPt, as listed in Alexandria via LeMat-Bulk.

Fermi-level density of states: 1.89 states/eV/cell
space-group type: Fm-3m (225)
energy relative to the lowest polymorph listed for this composition: 0.2169 eV/atom
E_form (uncorrected): 0.01 eV per atom
V: 81.65 Å³/cell

Cell lengths 4.8695, 4.8695, 4.8695 Å; angles 60.00, 60.00, 60.00 degrees
Last column: nearest neighbours and their distance in Å.
Atoms (fractional coordinates):
Te: 0.2500 0.2500 0.2500  4 Pt 2.98, 4 Pd 2.98
Te: 0.7500 0.7500 0.7500  4 Pd 2.98, 4 Pt 2.98
Pd: 0.0000 0.0000 0.0000  8 Te 2.98
Pt: 0.5000 0.5000 0.5000  8 Te 2.98

(4)
First-principles (PBE-GGA) data for an optimized crystal structure of Te2PdPt, as listed in Alexandria via LeMat-Bulk.

Fermi-level density of states: 1.38 states/eV/cell
space-group type: R-3m (166)
energy relative to the lowest polymorph listed for this composition: 0.0791 eV/atom
E_form (uncorrected): -0.13 eV per atom
V: 109.36 Å³/cell

Cell lengths 8.2720, 8.2720, 8.2720 Å; angles 27.89, 27.89, 27.89 degrees
Last column: nearest neighbours and their distance in Å.
Atoms (fractional coordinates):
Te: 0.1071 0.1071 0.1071  1 Pd 2.55, 3 Pt 2.70
Te: 0.8929 0.8929 0.8929  1 Pd 2.55, 3 Pt 2.70
Pd: 0.0000 0.0000 0.0000  2 Te 2.55
Pt: 0.5000 0.5000 0.5000  6 Te 2.70

(5)
First-principles (PBE-GGA) data for an optimized crystal structure of TePdPt2, as listed in Alexandria via LeMat-Bulk.

Fermi-level density of states: 3.79 states/eV/cell
space-group type: I-42d (122)
energy relative to the lowest polymorph listed for this composition: 0.0022 eV/atom
E_form (uncorrected): -0.05 eV per atom
V: 148.88 Å³/cell

Cell lengths 5.8972, 5.8972, 5.8972 Å; angles 102.26, 102.26, 125.11 degrees
Last column: nearest neighbours and their distance in Å.
Atoms (fractional coordinates):
Te: 0.0000 0.0000 0.0000  4 Pt 2.64, 2 Pd 2.72
Te: 0.7500 0.2500 0.5000  4 Pt 2.64, 2 Pd 2.72
Pd: 0.2500 0.7500 0.5000  2 Te 2.72, 4 Pt 2.77
Pd: 0.5000 0.5000 0.0000  2 Te 2.72, 4 Pt 2.77
Pt: 0.1129 0.6250 0.9879  2 Te 2.64, 2 Pt 2.72, 2 Pd 2.77
Pt: 0.3750 0.3629 0.4879  2 Te 2.64, 2 Pt 2.72, 2 Pd 2.77
Pt: 0.6371 0.1250 0.0121  2 Te 2.64, 2 Pt 2.72, 2 Pd 2.77
Pt: 0.8750 0.8871 0.5121  2 Te 2.64, 2 Pt 2.72, 2 Pd 2.77

(6)
First-principles (PBE-GGA) data for an optimized crystal structure of TePdPt2, as listed in Alexandria via LeMat-Bulk.

Fermi-level density of states: 2.90 states/eV/cell
space-group type: Fm-3m (225)
energy relative to the lowest polymorph listed for this composition: 0.0000 eV/atom
E_form (uncorrected): -0.05 eV per atom
V: 69.77 Å³/cell

Cell lengths 4.6210, 4.6210, 4.6210 Å; angles 60.00, 60.00, 60.00 degrees
Last column: nearest neighbours and their distance in Å.
Atoms (fractional coordinates):
Te: 0.0000 0.0000 0.0000  8 Pt 2.83
Pd: 0.5000 0.5000 0.5000  8 Pt 2.83
Pt: 0.2500 0.2500 0.2500  4 Pd 2.83, 4 Te 2.83
Pt: 0.7500 0.7500 0.7500  4 Pd 2.83, 4 Te 2.83

(7)
First-principles (PBE-GGA) data for an optimized crystal structure of Tl2Te2Pd2Pt, as listed in Alexandria via LeMat-Bulk.

Fermi-level density of states: 3.45 states/eV/cell
space-group type: C2/m (12)
E_form (uncorrected): -0.26 eV per atom
V: 168.60 Å³/cell

Cell lengths 7.4108, 7.4108, 5.5276 Å; angles 97.86, 97.86, 34.14 degrees
Last column: nearest neighbours and their distance in Å.
Atoms (fractional coordinates):
Tl: 0.0799 0.0799 0.2478  2 Pt 2.90, 3 Pd 3.10-3.23
Tl: 0.9201 0.9201 0.7522  2 Pt 2.90, 3 Pd 3.10-3.23
Te: 0.3351 0.3351 0.2149  1 Pt 2.62, 3 Pd 2.71-2.83
Te: 0.6649 0.6649 0.7851  1 Pt 2.62, 3 Pd 2.71-2.83
Pd: 0.2634 0.2634 0.6679  3 Te 2.71-2.83, 2 Pd 2.85
Pd: 0.7366 0.7366 0.3321  3 Te 2.71-2.83, 2 Pd 2.85
Pt: 0.5000 0.5000 0.5000  2 Te 2.62, 4 Tl 2.90

(8)
First-principles (PBE-GGA) data for an optimized crystal structure of UTePdPt, as listed in Alexandria via LeMat-Bulk.

Fermi-level density of states: 4.70 states/eV/cell
space-group type: F-43m (216)
E_form (uncorrected): -0.40 eV per atom
V: 81.87 Å³/cell

Cell lengths 4.8739, 4.8739, 4.8739 Å; angles 60.00, 60.00, 60.00 degrees
Last column: nearest neighbours and their distance in Å.
Atoms (fractional coordinates):
U: 0.0000 0.0000 0.0000  4 Pd 2.98, 4 Pt 2.98
Te: 0.5000 0.5000 0.5000  4 Pt 2.98, 4 Pd 2.98
Pd: 0.2500 0.2500 0.2500  4 Te 2.98, 4 U 2.98
Pt: 0.7500 0.7500 0.7500  4 Te 2.98, 4 U 2.98